1.
A relaxed structure of SrSc2P. Source: Alexandria, functional GGA-PBE.

Cell: 4.3420 4.3420 10.5097 Å, 90.00 90.00 90.00°
Last column: nearest neighbours and their distance in Å.
Positions (direct):
Sr 0.0000 0.0000 0.0000  4 P 3.07, 8 Sc 3.41
Sr 0.5000 0.5000 0.5000  4 P 3.07, 8 Sc 3.41
Sc 0.0000 0.5000 0.2500  4 Sc 3.07, 4 Sr 3.41, 4 P 3.41
Sc 0.0000 0.5000 0.7500  4 Sc 3.07, 4 Sr 3.41, 4 P 3.41
Sc 0.5000 0.0000 0.2500  4 Sc 3.07, 4 Sr 3.41, 4 P 3.41
Sc 0.5000 0.0000 0.7500  4 Sc 3.07, 4 Sr 3.41, 4 P 3.41
P 0.0000 0.0000 0.5000  4 Sr 3.07, 8 Sc 3.41
P 0.5000 0.5000 0.0000  4 Sr 3.07, 8 Sc 3.41

2.
A relaxed structure of SrScP2. Source: Alexandria, functional GGA-PBE.

Cell: 6.8936 6.8936 6.8936 Å, 90.00 90.00 90.00°
Last column: nearest neighbours and their distance in Å.
Positions (direct):
Sr 0.0000 0.0000 0.0000  4 Sc 2.99, 4 P 2.99
Sr 0.0000 0.5000 0.5000  4 Sc 2.99, 4 P 2.99
Sr 0.5000 0.0000 0.5000  4 Sc 2.99, 4 P 2.99
Sr 0.5000 0.5000 0.0000  4 Sc 2.99, 4 P 2.99
Sc 0.2500 0.2500 0.2500  4 P 2.99, 4 Sr 2.99
Sc 0.2500 0.7500 0.7500  4 Sr 2.99, 4 P 2.99
Sc 0.7500 0.2500 0.7500  4 Sr 2.99, 4 P 2.99
Sc 0.7500 0.7500 0.2500  4 Sr 2.99, 4 P 2.99
P 0.0000 0.0000 0.5000  4 P 2.99, 4 Sc 2.99
P 0.0000 0.5000 0.0000  4 P 2.99, 4 Sc 2.99
P 0.2500 0.2500 0.7500  4 Sr 2.99, 4 P 2.99
P 0.2500 0.7500 0.2500  4 Sr 2.99, 4 P 2.99
P 0.5000 0.0000 0.0000  4 P 2.99, 4 Sc 2.99
P 0.5000 0.5000 0.5000  4 P 2.99, 4 Sc 2.99
P 0.7500 0.2500 0.2500  4 Sr 2.99, 4 P 2.99
P 0.7500 0.7500 0.7500  4 Sr 2.99, 4 P 2.99

Distance to the lowest polymorph of the same formula in kJ/mol of formula units: 417.3

3.
A relaxed structure of SrSc2P. Source: Alexandria, functional GGA-PBE.

Cell: 7.2355 7.2355 7.2355 Å, 90.00 90.00 90.00°
Last column: nearest neighbours and their distance in Å.
Positions (direct):
Sr 0.0000 0.0000 0.0000  4 P 3.13, 4 Sc 3.13
Sr 0.0000 0.5000 0.5000  4 P 3.13, 4 Sc 3.13
Sr 0.5000 0.0000 0.5000  4 P 3.13, 4 Sc 3.13
Sr 0.5000 0.5000 0.0000  4 P 3.13, 4 Sc 3.13
Sc 0.0000 0.0000 0.5000  4 Sc 3.13, 4 P 3.13
Sc 0.0000 0.5000 0.0000  4 Sc 3.13, 4 P 3.13
Sc 0.2500 0.2500 0.2500  4 Sr 3.13, 4 Sc 3.13
Sc 0.2500 0.7500 0.7500  4 Sr 3.13, 4 Sc 3.13
Sc 0.5000 0.0000 0.0000  4 Sc 3.13, 4 P 3.13
Sc 0.5000 0.5000 0.5000  4 Sc 3.13, 4 P 3.13
Sc 0.7500 0.2500 0.7500  4 Sr 3.13, 4 Sc 3.13
Sc 0.7500 0.7500 0.2500  4 Sr 3.13, 4 Sc 3.13
P 0.2500 0.2500 0.7500  4 Sc 3.13, 4 Sr 3.13
P 0.2500 0.7500 0.2500  4 Sc 3.13, 4 Sr 3.13
P 0.7500 0.2500 0.2500  4 Sc 3.13, 4 Sr 3.13
P 0.7500 0.7500 0.7500  4 Sc 3.13, 4 Sr 3.13

Calculated total energy in eV/atom, matching the order above: -5.05 -4.70 -4.84